Entry from Alexandria: Ce2HoP3Rh4 after structural relaxation (GGA-PBE).

Cell lengths 3.991, 3.991, 11.287 Å; angles 90.00, 90.00, 90.00 degrees
Fractional coordinates of all 10 atoms:
Ce 0.000 0.500 0.225
Ce 0.500 0.000 0.775
Ho 0.000 0.000 0.500
P 0.000 0.500 0.877
P 0.500 0.000 0.123
P 0.500 0.500 0.500
Rh 0.000 0.000 0.000
Rh 0.000 0.500 0.670
Rh 0.500 0.000 0.330
Rh 0.500 0.500 0.000

For the density of states at the Fermi level, the calculation gives 10.9 states/eV per cell. For the magnetic moment, the calculation gives 0.92 Bohr magnetons per cell. The value obtained for the total energy is -7.283 eV/atom. Its space group is P-4m2, No. 115. The formation energy comes out at -1.075 eV/atom. As for the theoretical density: 8.77 g/cm³.